(1)
Material: Cd4PPb
Method: DFT, GGA-PBE
State: relaxed

abc: 5.868 5.868 5.868
angles: 60.00 60.00 60.00
Sites, in units of the cell vectors:
Cd1 0.874 0.375 0.375
Cd2 0.375 0.375 0.375
Cd3 0.375 0.874 0.375
Pb1 0.000 0.000 0.000
Cd4 0.375 0.375 0.874
P1 0.750 0.750 0.750

Computed properties:
Its space group is F-43m (216). As for the formation energy: 0.311 eV per atom. Its total DFT energy (no corrections) is -1.8187 eV/atom. The crystal system is cubic. As for the density of states at the Fermi level: 0.631 states/eV/atom.

=====

(2)
Material: CsTlGa2Te
Method: DFT, GGA-PBE
State: relaxed

abc: 5.841 6.541 5.841
angles: 90.00 90.00 90.00
Sites, in units of the cell vectors:
Ga1 0.000 0.000 0.500
Ga2 0.500 0.000 0.000
Cs1 0.500 0.500 0.500
Te1 0.000 0.000 0.000
Tl1 0.000 0.500 0.000

Computed properties:
Its space group is P4/mmm (123). Its total DFT energy (no corrections) is -2.3038 eV/atom. The crystal system is tetragonal. The raw formation energy is 0.179 eV per atom. As for the density of states at the Fermi level: 0.711 states/eV/atom.

=====

(3)
Material: Ta2AgHg
Method: DFT, GGA-PBE
State: relaxed

abc: 4.508 2.806 6.092
angles: 77.48 90.00 90.00
Sites, in units of the cell vectors:
Ag1 0.000 0.704 0.488
Ta1 0.000 0.934 0.002
Hg1 0.500 0.549 0.755
Ta2 0.500 0.313 0.255

Computed properties:
Its space group is Pm (6). As for the formation energy: 0.362 eV per atom. Its total DFT energy (no corrections) is -6.3523 eV/atom. The crystal system is monoclinic. As for the density of states at the Fermi level: 0.735 states/eV/atom.

=====

> Which formula does entry 3 have?

Ta2AgHg